No. 1
# Rb2Ag2Hg

Rb2Ag2Hg after structural relaxation (GGA-PBE, Alexandria).

Cell and atoms, written as POSCAR:
```
Rb2Ag2Hg
1.0
6.8719 0.0000 0.0000
0.0000 6.8719 0.0000
3.4359 3.4359 4.1722
Rb Ag Hg
2 2 1
Direct
0.7500 0.2500 0.5000 Rb
0.2500 0.7500 0.5000 Rb
0.6618 0.6618 0.6765 Ag
0.3382 0.3382 0.3235 Ag
0.0000 0.0000 0.0000 Hg
```

Volume ... 197.02 Å³ per cell
Relative energy among the computed polymorphs ... 51 meV/atom
Crystal system ... tetragonal
N(E_F) ... 2.5 states/eV per cell
ΔH_f (0 K) ... 27 meV per atom


No. 2
# Ac7NdPb5

Ac7NdPb5 after structural relaxation (GGA-PBE, Alexandria).

Cell and atoms, written as POSCAR:
```
Ac7NdPb5
1.0
6.9761 0.0000 0.0000
3.4880 8.4327 0.1211
3.4880 0.0939 8.4330
Pb Ac Nd
5 7 1
Direct
0.5434 0.9819 0.4585 Pb
0.0162 0.4585 0.9819 Pb
0.0162 0.9819 0.4585 Pb
0.7877 0.7123 0.7123 Pb
0.5434 0.4585 0.9819 Pb
0.5765 0.4235 0.4235 Ac
0.2241 0.7759 0.7759 Ac
0.5376 0.7984 0.1264 Ac
0.0226 0.2978 0.6570 Ac
0.0226 0.6570 0.2978 Ac
0.5376 0.1264 0.7984 Ac
0.2707 0.2293 0.2293 Ac
0.9014 0.0986 0.0986 Nd
```

Volume ... 496.01 Å³ per cell
Crystal system ... orthorhombic
N(E_F) ... 12.7 states/eV per cell
ΔH_f (0 K) ... -311 meV per atom


No. 3
# La2PtICl

La2PtICl after structural relaxation (GGA-PBE, Alexandria).

Cell and atoms, written as POSCAR:
```
La2PtICl
1.0
-0.3703 -4.7673 -2.9916
3.3408 2.2385 -3.9808
4.5373 -2.0268 2.6681
La Cl Pt I
2 1 1 1
Direct
0.5000 0.0000 0.0000 La
0.0000 0.0000 0.5000 La
0.5000 0.5000 0.5000 Cl
0.0000 0.0000 0.0000 Pt
0.0000 0.5000 0.0000 I
```

Volume ... 180.02 Å³ per cell
Relative energy among the computed polymorphs ... 556 meV/atom
Crystal system ... tetragonal
N(E_F) ... 2.7 states/eV per cell
Energy relative to the elements, uncorrected ... -3.78 eV/f.u.


No. 4
# TbEr3Th3

TbEr3Th3 after structural relaxation (GGA-PBE, Alexandria).

Cell and atoms, written as POSCAR:
```
TbEr3Th3
1.0
-0.3190 -5.0540 -2.7733
6.0282 -3.8026 6.2364
-9.3235 -0.3079 1.6335
Er Th Tb
6 6 2
Direct
0.2500 0.1941 0.2371 Er
0.7500 0.9569 0.1941 Er
0.7500 0.8059 0.7629 Er
0.7500 0.2371 0.0431 Er
0.2500 0.7629 0.9569 Er
0.2500 0.0431 0.8059 Er
0.2500 0.4843 0.1024 Th
0.7500 0.3819 0.4843 Th
0.7500 0.5157 0.8976 Th
0.2500 0.8976 0.3819 Th
0.2500 0.6181 0.5157 Th
0.7500 0.1024 0.6181 Th
0.7500 0.6667 0.3333 Tb
0.2500 0.3333 0.6667 Tb
```

Volume ... 448.48 Å³ per cell
Relative energy among the computed polymorphs ... 12 meV/atom
Crystal system ... hexagonal
N(E_F) ... 21.4 states/eV per cell
ΔH_f (0 K) ... 52 meV per atom


No. 5
# KSr2Cl

KSr2Cl after structural relaxation (GGA-PBE, Alexandria).

Cell and atoms, written as POSCAR:
```
KSr2Cl
1.0
-2.5303 3.3395 -0.3822
-1.7642 -3.6476 1.1330
1.7856 2.6461 11.2996
Sr K Cl
2 1 1
Direct
0.0000 0.0000 0.0143 Sr
0.5000 0.5000 0.3090 Sr
0.5000 0.5000 0.6893 K
0.0000 0.0000 0.4874 Cl
```

Volume ... 184.50 Å³ per cell
Relative energy among the computed polymorphs ... 1 meV/atom
Crystal system ... orthorhombic
N(E_F) ... 2.0 states/eV per cell
Energy relative to the elements, uncorrected ... -3.32 eV/f.u.


No. 6
# K2SbO

K2SbO after structural relaxation (GGA-PBE, Alexandria).

Cell and atoms, written as POSCAR:
```
K2SbO
1.0
-7.2896 2.5159 -8.0461
8.0186 -1.2144 -7.6443
-0.1585 -1.5177 -8.0494
Sb K O
2 4 2
Direct
0.7500 0.2500 0.5000 Sb
0.0000 0.0000 0.0000 Sb
0.3750 0.5721 0.7500 K
0.3221 0.6250 0.2500 K
0.8750 0.6779 0.7500 K
0.4279 0.1250 0.2500 K
0.2500 0.7500 0.5000 O
0.5000 0.5000 0.0000 O
```

Volume ... 278.22 Å³ per cell
Relative energy among the computed polymorphs ... 0 meV/atom
Crystal system ... tetragonal
N(E_F) ... 4.5 states/eV per cell
Energy relative to the elements, uncorrected ... -2.67 eV/f.u.